(1)
DFT (PBE) results for NbRu2Pb after structural relaxation.

a = 7.267 Å, b = 7.267 Å, c = 5.865 Å
α = 90.00°, β = 90.00°, γ = 90.00°
Space group I-42d (No. 122)
Inequivalent atoms, fractional coordinates:
Nb 0.000 0.000 0.000 [4 per cell]
Ru 0.208 0.250 0.125 [8 per cell]
Pb 0.000 0.000 0.500 [4 per cell]

Values from the calculation:
D(E_F) in states/eV per cell: 11.273
E_form in meV per atom: 586
Total magnetization in μB/f.u.: 0.0
Calculated volume in Å³/atom: 19.360



(2)
DFT (PBE) results for NbRuPb3 after structural relaxation.

a = 5.240 Å, b = 5.240 Å, c = 5.240 Å
α = 90.00°, β = 90.00°, γ = 90.00°
Space group Pm-3m (No. 221)
Inequivalent atoms, fractional coordinates:
Nb 0.000 0.000 0.000 [1 per cell]
Ru 0.500 0.500 0.500 [1 per cell]
Pb 0.000 0.500 0.500 [3 per cell]

Values from the calculation:
D(E_F) in states/eV per cell: 7.069
E_form in meV per atom: 1031
E above lowest polymorph in meV per atom: 0
Total magnetization in μB/f.u.: 3.7
Calculated volume in Å³/atom: 28.777



(3)
DFT (PBE) results for NbRuPb3 after structural relaxation.

a = 5.456 Å, b = 5.456 Å, c = 5.456 Å
α = 90.00°, β = 90.00°, γ = 90.00°
Space group Pm-3m (No. 221)
Inequivalent atoms, fractional coordinates:
Nb 0.000 0.000 0.000 [1 per cell]
Ru 0.500 0.500 0.500 [1 per cell]
Pb 0.000 0.000 0.500 [3 per cell]

Values from the calculation:
D(E_F) in states/eV per cell: 3.986
E_form in meV per atom: 1313
E above lowest polymorph in meV per atom: 283
Total magnetization in μB/f.u.: 3.3
Calculated volume in Å³/atom: 32.486



(4)
DFT (PBE) results for NbRuPb2 after structural relaxation.

a = 7.768 Å, b = 7.768 Å, c = 5.900 Å
α = 90.00°, β = 90.00°, γ = 90.00°
Space group I-42d (No. 122)
Inequivalent atoms, fractional coordinates:
Nb 0.000 0.000 0.000 [4 per cell]
Ru 0.000 0.000 0.500 [4 per cell]
Pb 0.223 0.250 0.625 [8 per cell]

Values from the calculation:
D(E_F) in states/eV per cell: 17.326
E_form in meV per atom: 812
E above lowest polymorph in meV per atom: 253
Total magnetization in μB/f.u.: 0.0
Calculated volume in Å³/atom: 22.251



(5)
DFT (PBE) results for Nb2RuPb after structural relaxation.

a = 3.953 Å, b = 3.953 Å, c = 20.148 Å
α = 90.00°, β = 90.00°, γ = 90.00°
Space group I-42d (No. 122)
Inequivalent atoms, fractional coordinates:
Nb 0.248 0.250 0.125 [8 per cell]
Ru 0.000 0.000 0.500 [4 per cell]
Pb 0.000 0.000 0.000 [4 per cell]

Values from the calculation:
D(E_F) in states/eV per cell: 14.116
E_form in meV per atom: 660
Total magnetization in μB/f.u.: 0.0
Calculated volume in Å³/atom: 19.681



(6)
DFT (PBE) results for NbRuPb2S after structural relaxation.

a = 5.398 Å, b = 5.398 Å, c = 4.196 Å
α = 90.00°, β = 90.00°, γ = 90.00°
Space group P4/mmm (No. 123)
Inequivalent atoms, fractional coordinates:
Nb 0.000 0.000 0.000 [1 per cell]
Ru 0.500 0.500 0.000 [1 per cell]
Pb 0.000 0.500 0.500 [2 per cell]
S 0.500 0.500 0.500 [1 per cell]

Values from the calculation:
D(E_F) in states/eV per cell: 6.043
ΔE_f (raw) in eV/atom: 0.916
Total magnetization in μB/f.u.: 0.0
Calculated volume in Å³/atom: 24.453